*w*
DFT (GGA-PBE) results for a relaxed structure of TbHo4In3.

```
TbHo4In3
1.0
-1.7416 4.4011 7.5565
1.7416 -4.4011 7.5565
1.7416 4.4011 -7.5565
Tb Ho In
1 4 3
direct
0.0000 0.0000 0.0000 Tb
0.1616 0.8599 0.3017 Ho
0.4418 0.1401 0.3017 Ho
0.5582 0.8599 0.6983 Ho
0.8384 0.1401 0.6983 Ho
0.1847 0.6847 0.5000 In
0.5000 0.5000 0.0000 In
0.8153 0.3153 0.5000 In
```

=====

*x*
DFT (GGA-PBE) results for a relaxed structure of TbHo4In3.

```
TbHo4In3
1.0
2.6657 1.5391 9.0960
-2.6657 1.5391 9.0960
0.0000 -3.0781 9.0960
Tb Ho In
1 4 3
direct
0.0000 0.0000 0.0000 Tb
0.1292 0.1292 0.1292 Ho
0.3871 0.3871 0.3871 Ho
0.6129 0.6129 0.6129 Ho
0.8708 0.8708 0.8708 Ho
0.2642 0.2642 0.2642 In
0.5000 0.5000 0.5000 In
0.7358 0.7358 0.7358 In
```

=====

Most stable structure - *x*; separation to the second - 0.101 eV/atom.

=====

*w*
DFT (GGA-PBE) results for a relaxed structure of Tb3HoIn.

```
Tb3HoIn
1.0
2.4129 -12.5490 0.0000
2.4129 12.5490 0.0000
0.0000 0.0000 4.8266
Tb Ho In
6 2 2
direct
0.0505 0.9495 0.7500 Tb
0.2496 0.7504 0.7500 Tb
0.4476 0.5524 0.7500 Tb
0.5524 0.4476 0.2500 Tb
0.7504 0.2496 0.2500 Tb
0.9495 0.0505 0.2500 Tb
0.1500 0.8500 0.2500 Ho
0.8500 0.1500 0.7500 Ho
0.3472 0.6528 0.2500 In
0.6528 0.3472 0.7500 In
```

=====

*x*
DFT (GGA-PBE) results for a relaxed structure of Tb3HoIn.

```
Tb3HoIn
1.0
2.9400 -6.1609 0.0000
2.9400 6.1609 0.0000
0.0000 0.0000 8.7919
Tb Ho In
6 2 2
direct
0.0635 0.9365 0.7500 Tb
0.1748 0.8252 0.0685 Tb
0.1748 0.8252 0.4315 Tb
0.8252 0.1748 0.5685 Tb
0.8252 0.1748 0.9315 Tb
0.9365 0.0635 0.2500 Tb
0.4284 0.5716 0.2500 Ho
0.5716 0.4284 0.7500 Ho
0.3206 0.6794 0.7500 In
0.6794 0.3206 0.2500 In
```

=====

Most stable structure - *w*; separation to the second - 0.461 eV/atom.

=====

*w*
DFT (GGA-PBE) results for a relaxed structure of Tb6HoIn2.

```
Tb6HoIn2
1.0
5.5032 -2.3836 0.0000
5.5032 2.3836 0.0000
-3.3811 0.0000 9.9136
Tb Ho In
6 1 2
direct
0.0071 0.0071 0.1737 Tb
0.3287 0.3287 0.6101 Tb
0.3287 0.3287 0.9459 Tb
0.6713 0.6713 0.0541 Tb
0.6713 0.6713 0.3899 Tb
0.9929 0.9929 0.8263 Tb
0.0000 0.0000 0.5000 Ho
0.3401 0.3401 0.2838 In
0.6599 0.6599 0.7162 In
```

=====

*x*
DFT (GGA-PBE) results for a relaxed structure of Tb6HoIn2.

```
Tb6HoIn2
1.0
-3.1194 3.1194 7.6818
3.1194 -3.1194 7.6818
3.1194 3.1194 -7.6818
Tb Ho In
6 1 2
direct
0.0876 0.7352 0.0000 Tb
0.2500 0.7500 0.5000 Tb
0.2648 0.2648 0.3524 Tb
0.7352 0.0876 0.0000 Tb
0.7500 0.2500 0.5000 Tb
0.9124 0.9124 0.6476 Tb
0.5000 0.5000 0.0000 Ho
0.2909 0.2909 0.0000 In
0.7091 0.7091 0.0000 In
```

=====

Most stable structure - *w*; separation to the second - 0.524 eV/atom.

=====

*w*
DFT (GGA-PBE) results for a relaxed structure of Tb4Ho5In.

```
Tb4Ho5In
1.0
4.1061 0.0000 0.0000
0.0000 4.1061 0.0000
0.0000 0.0000 18.1247
Tb Ho In
4 5 1
direct
0.0000 0.0000 0.1012 Tb
0.0000 0.0000 0.3026 Tb
0.0000 0.0000 0.6974 Tb
0.0000 0.0000 0.8988 Tb
0.5000 0.5000 0.0000 Ho
0.5000 0.5000 0.2046 Ho
0.5000 0.5000 0.4100 Ho
0.5000 0.5000 0.5900 Ho
0.5000 0.5000 0.7954 Ho
0.0000 0.0000 0.5000 In
```

=====

*x*
DFT (GGA-PBE) results for a relaxed structure of Tb4Ho5In.

```
Tb4Ho5In
1.0
-5.2866 5.2866 2.8866
5.2866 -5.2866 2.8866
5.2866 5.2866 -2.8866
Tb Ho In
4 5 1
direct
0.0000 0.3146 0.3146 Tb
0.0000 0.6854 0.6854 Tb
0.3146 0.0000 0.3146 Tb
0.6854 0.0000 0.6854 Tb
0.2113 0.2113 0.0000 Ho
0.3121 0.3121 0.6291 Ho
0.3121 0.6830 0.0000 Ho
0.6830 0.3121 0.0000 Ho
0.6830 0.6830 0.3709 Ho
0.7283 0.7283 0.0000 In
```

=====

Most stable structure - *w*; separation to the second - 0.092 eV/atom.